[1]
An optimized crystal structure of AlZnRe2. Source: Alexandria via LeMat-Bulk, functional PBE.

```
data_AlZnRe2
_symmetry_space_group_name_H-M 'R 3 m'
_symmetry_Int_Tables_number 160
_symmetry_space_group_name_Hall 'R 3 -2"'
_cell_length_a 2.8131
_cell_length_b 2.8131
_cell_length_c 26.4335
_cell_angle_alpha 90.00
_cell_angle_beta 90.00
_cell_angle_gamma 120.00
loop_
_atom_site_label
_atom_site_fract_x
_atom_site_fract_y
_atom_site_fract_z
Al1 0.0000 0.0000 0.0000
Zn1 0.0000 0.0000 0.7520
Re1 0.0000 0.0000 0.2504
Re2 0.0000 0.0000 0.5048
```

Summary:
Total magnetization ... 0.00 μB/f.u.
Distance to the lowest polymorph of the same formula ... 96 meV/atom
Energy of formation ... -0.003 eV per atom
N(E_F) ... 0.758 states/eV per atom

[2]
An optimized crystal structure of AlZnRe2. Source: Alexandria via LeMat-Bulk, functional PBE.

```
data_AlZnRe2
_symmetry_space_group_name_H-M 'I -4 2 d'
_symmetry_Int_Tables_number 122
_symmetry_space_group_name_Hall 'I -4 2bw'
_cell_length_a 6.937
_cell_length_b 6.937
_cell_length_c 5.248
_cell_angle_alpha 90.00
_cell_angle_beta 90.00
_cell_angle_gamma 90.00
loop_
_atom_site_label
_atom_site_fract_x
_atom_site_fract_y
_atom_site_fract_z
Al1 0.000 0.000 0.000
Zn1 0.000 0.000 0.500
Re1 0.241 0.250 0.125
```

Summary:
Total magnetization ... 0.00 μB/f.u.
Distance to the lowest polymorph of the same formula ... 874 meV/atom
Energy of formation ... 0.775 eV per atom
N(E_F) ... 0.632 states/eV per atom

[3]
An optimized crystal structure of AlZnRe2. Source: Alexandria via LeMat-Bulk, functional PBE.

```
data_AlZnRe2
_symmetry_space_group_name_H-M 'I m m m'
_symmetry_Int_Tables_number 71
_symmetry_space_group_name_Hall '-I 2 2'
_cell_length_a 3.096
_cell_length_b 4.393
_cell_length_c 8.623
_cell_angle_alpha 90.00
_cell_angle_beta 90.00
_cell_angle_gamma 90.00
loop_
_atom_site_label
_atom_site_fract_x
_atom_site_fract_y
_atom_site_fract_z
Al1 0.000 0.000 0.000
Zn1 0.000 0.000 0.500
Re1 0.000 0.500 0.252
```

Summary:
Total magnetization ... 0.00 μB/f.u.
Distance to the lowest polymorph of the same formula ... 218 meV/atom
Energy of formation ... 0.119 eV per atom
N(E_F) ... 0.525 states/eV per atom

[4]
An optimized crystal structure of Al2ZnRe. Source: Alexandria via LeMat-Bulk, functional PBE.

```
data_Al2ZnRe
_symmetry_space_group_name_H-M 'C m m 2'
_symmetry_Int_Tables_number 35
_cell_length_a 3.517
_cell_length_b 4.182
_cell_length_c 8.326
_cell_angle_alpha 90.00
_cell_angle_beta 90.00
_cell_angle_gamma 90.00
loop_
_symmetry_equiv_pos_as_xyz
'x,y,z'
'-x,-y,z'
'-x,y,z'
'x,-y,z'
'x+1/2,y+1/2,z'
'-x+1/2,-y+1/2,z'
'-x+1/2,y+1/2,z'
'x+1/2,-y+1/2,z'
loop_
_atom_site_label
_atom_site_fract_x
_atom_site_fract_y
_atom_site_fract_z
Al1 0.000 0.000 0.000
Al2 0.000 0.500 0.261
Zn1 0.000 0.000 0.515
Re1 0.000 0.500 0.763
```

Summary:
Total magnetization ... 0.00 μB/f.u.
Energy of formation ... 0.141 eV per atom
N(E_F) ... 0.540 states/eV per atom

[5]
An optimized crystal structure of AlZnRe2. Source: Alexandria via LeMat-Bulk, functional PBE.

```
data_AlZnRe2
_symmetry_space_group_name_H-M 'P m m m'
_symmetry_Int_Tables_number 47
_cell_length_a 3.103
_cell_length_b 4.318
_cell_length_c 4.373
_cell_angle_alpha 90.00
_cell_angle_beta 90.00
_cell_angle_gamma 90.00
loop_
_symmetry_equiv_pos_as_xyz
'x,y,z'
'-x,-y,-z'
'-x,-y,z'
'x,y,-z'
'x,-y,-z'
'-x,y,z'
'-x,y,-z'
'x,-y,z'
loop_
_atom_site_label
_atom_site_fract_x
_atom_site_fract_y
_atom_site_fract_z
Al1 0.000 0.000 0.000
Zn1 0.500 0.000 0.500
Re1 0.000 0.500 0.500
Re2 0.500 0.500 0.000
```

Summary:
Total magnetization ... 0.00 μB/f.u.
Distance to the lowest polymorph of the same formula ... 219 meV/atom
Energy of formation ... 0.120 eV per atom
N(E_F) ... 0.546 states/eV per atom

[6]
An optimized crystal structure of AlZnRe2. Source: Alexandria via LeMat-Bulk, functional PBE.

```
data_AlZnRe2
_symmetry_space_group_name_H-M 'P 4/m m m'
_symmetry_Int_Tables_number 123
_symmetry_space_group_name_Hall '-P 4 2'
_cell_length_a 2.676
_cell_length_b 2.676
_cell_length_c 8.213
_cell_angle_alpha 90.00
_cell_angle_beta 90.00
_cell_angle_gamma 90.00
loop_
_atom_site_label
_atom_site_fract_x
_atom_site_fract_y
_atom_site_fract_z
Al1 0.000 0.000 0.000
Zn1 0.000 0.000 0.500
Re1 0.500 0.500 0.247
```

Summary:
Total magnetization ... 0.00 μB/f.u.
Distance to the lowest polymorph of the same formula ... 345 meV/atom
Energy of formation ... 0.245 eV per atom
N(E_F) ... 1.049 states/eV per atom

[7]
An optimized crystal structure of AlZnRe3. Source: Alexandria via LeMat-Bulk, functional PBE.

```
data_AlZnRe3
_symmetry_space_group_name_H-M 'P m -3 m'
_symmetry_Int_Tables_number 221
_symmetry_space_group_name_Hall '-P 4 2 3'
_cell_length_a 4.461
_cell_length_b 4.461
_cell_length_c 4.461
_cell_angle_alpha 90.00
_cell_angle_beta 90.00
_cell_angle_gamma 90.00
loop_
_atom_site_label
_atom_site_fract_x
_atom_site_fract_y
_atom_site_fract_z
Al1 0.000 0.000 0.000
Zn1 0.500 0.500 0.500
Re1 0.000 0.000 0.500
```

Summary:
Total magnetization ... 0.00 μB/f.u.
Distance to the lowest polymorph of the same formula ... 0 meV/atom
Energy of formation ... 1.848 eV per atom
N(E_F) ... 0.911 states/eV per atom

[8]
An optimized crystal structure of Al2ZnRe. Source: Alexandria via LeMat-Bulk, functional PBE.

```
data_Al2ZnRe
_symmetry_space_group_name_H-M 'P m m m'
_symmetry_Int_Tables_number 47
_cell_length_a 3.255
_cell_length_b 3.297
_cell_length_c 5.510
_cell_angle_alpha 90.00
_cell_angle_beta 90.00
_cell_angle_gamma 90.00
loop_
_symmetry_equiv_pos_as_xyz
'x,y,z'
'-x,-y,-z'
'-x,-y,z'
'x,y,-z'
'x,-y,-z'
'-x,y,z'
'-x,y,-z'
'x,-y,z'
loop_
_atom_site_label
_atom_site_fract_x
_atom_site_fract_y
_atom_site_fract_z
Al1 0.000 0.000 0.238
Zn1 0.500 0.500 0.500
Re1 0.500 0.500 0.000
```

Summary:
Total magnetization ... 0.00 μB/f.u.
Energy of formation ... -0.149 eV per atom
N(E_F) ... 0.659 states/eV per atom

[9]
An optimized crystal structure of Al2ZnRe. Source: Alexandria via LeMat-Bulk, functional PBE.

```
data_Al2ZnRe
_symmetry_space_group_name_H-M 'C 1 m 1'
_symmetry_Int_Tables_number 8
_cell_length_a 9.469
_cell_length_b 2.711
_cell_length_c 4.690
_cell_angle_alpha 90.00
_cell_angle_beta 97.40
_cell_angle_gamma 90.00
loop_
_symmetry_equiv_pos_as_xyz
'x,y,z'
'x,-y,z'
'x+1/2,y+1/2,z'
'x+1/2,-y+1/2,z'
loop_
_atom_site_label
_atom_site_fract_x
_atom_site_fract_y
_atom_site_fract_z
Al1 0.000 0.000 0.000
Al2 0.241 0.000 0.709
Zn1 0.484 0.000 0.483
Re1 0.241 0.500 0.209
```

Summary:
Total magnetization ... 0.00 μB/f.u.
Energy of formation ... -0.065 eV per atom
N(E_F) ... 0.382 states/eV per atom

[10]
An optimized crystal structure of AlZnRe2. Source: Alexandria via LeMat-Bulk, functional PBE.

```
data_AlZnRe2
_symmetry_space_group_name_H-M 'I 4/m m m'
_symmetry_Int_Tables_number 139
_symmetry_space_group_name_Hall '-I 4 2'
_cell_length_a 3.781
_cell_length_b 3.781
_cell_length_c 8.246
_cell_angle_alpha 90.00
_cell_angle_beta 90.00
_cell_angle_gamma 90.00
loop_
_atom_site_label
_atom_site_fract_x
_atom_site_fract_y
_atom_site_fract_z
Al1 0.000 0.000 0.000
Zn1 0.000 0.000 0.500
Re1 0.000 0.500 0.250
```

Summary:
Total magnetization ... 0.00 μB/f.u.
Distance to the lowest polymorph of the same formula ... 342 meV/atom
Energy of formation ... 0.243 eV per atom
N(E_F) ... 1.098 states/eV per atom

[11]
An optimized crystal structure of AlZnRe2. Source: Alexandria via LeMat-Bulk, functional PBE.

```
data_AlZnRe2
_symmetry_space_group_name_H-M 'C m m m'
_symmetry_Int_Tables_number 65
_symmetry_space_group_name_Hall '-C 2 2'
_cell_length_a 5.284
_cell_length_b 8.200
_cell_length_c 2.721
_cell_angle_alpha 90.00
_cell_angle_beta 90.00
_cell_angle_gamma 90.00
loop_
_atom_site_label
_atom_site_fract_x
_atom_site_fract_y
_atom_site_fract_z
Al1 0.000 0.000 0.000
Zn1 0.000 0.500 0.000
Re1 0.250 0.250 0.500
```

Summary:
Total magnetization ... 0.00 μB/f.u.
Distance to the lowest polymorph of the same formula ... 347 meV/atom
Energy of formation ... 0.248 eV per atom
N(E_F) ... 1.017 states/eV per atom

[12]
An optimized crystal structure of Al2ZnRe. Source: Alexandria via LeMat-Bulk, functional PBE.

```
data_Al2ZnRe
_symmetry_space_group_name_H-M 'P 4/m m m'
_symmetry_Int_Tables_number 123
_symmetry_space_group_name_Hall '-P 4 2'
_cell_length_a 4.185
_cell_length_b 4.185
_cell_length_c 3.293
_cell_angle_alpha 90.00
_cell_angle_beta 90.00
_cell_angle_gamma 90.00
loop_
_atom_site_label
_atom_site_fract_x
_atom_site_fract_y
_atom_site_fract_z
Al1 0.000 0.500 0.000
Zn1 0.000 0.000 0.500
Re1 0.500 0.500 0.500
```

Summary:
Total magnetization ... 0.00 μB/f.u.
Energy of formation ... -0.060 eV per atom
N(E_F) ... 0.542 states/eV per atom

[13]
An optimized crystal structure of Al7Zn2Re2. Source: Alexandria via LeMat-Bulk, functional PBE.

```
data_Al7Zn2Re2
_symmetry_space_group_name_H-M 'C 1 2/m 1'
_symmetry_Int_Tables_number 12
_cell_length_a 9.508
_cell_length_b 8.001
_cell_length_c 4.952
_cell_angle_alpha 90.00
_cell_angle_beta 106.81
_cell_angle_gamma 90.00
loop_
_symmetry_equiv_pos_as_xyz
'x,y,z'
'-x,-y,-z'
'-x,y,-z'
'x,-y,z'
'x+1/2,y+1/2,z'
'-x+1/2,-y+1/2,-z'
'-x+1/2,y+1/2,-z'
'x+1/2,-y+1/2,z'
loop_
_atom_site_label
_atom_site_fract_x
_atom_site_fract_y
_atom_site_fract_z
Al1 0.000 0.000 0.000
Al2 0.010 0.500 0.254
Al3 0.241 0.325 0.730
Zn1 0.000 0.166 0.500
Re1 0.231 0.000 0.817
```

Summary:
Total magnetization ... 0.00 μB/f.u.
Energy of formation ... -0.034 eV per atom
N(E_F) ... 0.400 states/eV per atom

[14]
An optimized crystal structure of Al6Zn3Re. Source: Alexandria via LeMat-Bulk, functional PBE.

```
data_Al6Zn3Re
_symmetry_space_group_name_H-M 'R -3'
_symmetry_Int_Tables_number 148
_symmetry_space_group_name_Hall '-R 3'
_cell_length_a 11.3422
_cell_length_b 11.3422
_cell_length_c 8.7727
_cell_angle_alpha 90.00
_cell_angle_beta 90.00
_cell_angle_gamma 120.00
loop_
_atom_site_label
_atom_site_fract_x
_atom_site_fract_y
_atom_site_fract_z
Al1 0.0018 0.2311 0.0536
Al2 0.0715 0.4903 0.1266
Zn1 0.0198 0.1519 0.7502
Re1 0.0000 0.0000 0.0000
Re2 0.0000 0.0000 0.5000
```

Summary:
Total magnetization ... 0.00 μB/f.u.
Energy of formation ... 0.005 eV per atom
N(E_F) ... 0.288 states/eV per atom